Record 1
Compound: BeCrW2
Source: Alexandria
Functional: GGA-PBE
Structure: optimized geometry

Calculated values
E in eV/atom: -9.5533
Mass density in g/cm3: 13.3
ΔE_f in eV/atom: 0.26
Magnetic moment in μB per cell: 0.01

Cell lengths 3.572, 3.572, 8.415 Å; angles 90.00, 90.00, 90.00 degrees
Space group I-4m2 (No. 119)
One atom of each set of equivalent atoms:
Be: 0.000 0.000 0.000 x2
Cr: 0.000 0.500 0.750 x2
W: 0.000 0.000 0.500 x2
W: 0.000 0.500 0.250 x2



Record 2
Compound: BeCrW2
Source: Alexandria
Functional: GGA-PBE
Structure: optimized geometry

Calculated values
E in eV/atom: -9.6486
Mass density in g/cm3: 13.3
ΔE_f in eV/atom: 0.17
Magnetic moment in μB per cell: 0.00

Cell lengths 3.123, 3.123, 5.483 Å; angles 90.00, 90.00, 90.00 degrees
Space group P4mm (No. 99)
One atom of each set of equivalent atoms:
Be: 0.000 0.000 0.000 x1
Cr: 0.500 0.500 0.209 x1
W: 0.000 0.000 0.478 x1
W: 0.500 0.500 0.769 x1



Record 3
Compound: BeCr2W
Source: Alexandria
Functional: GGA-PBE
Structure: optimized geometry

Calculated values
E in eV/atom: -8.8256
Mass density in g/cm3: 10.2
ΔE_f in eV/atom: 0.16
Magnetic moment in μB per cell: 0.60

Cell lengths 2.855, 2.855, 5.916 Å; angles 90.00, 90.00, 90.00 degrees
Space group P4mm (No. 99)
One atom of each set of equivalent atoms:
Be: 0.000 0.000 0.000 x1
Cr: 0.000 0.000 0.428 x1
Cr: 0.500 0.500 0.219 x1
W: 0.500 0.500 0.733 x1



Record 4
Compound: BeCrW2
Source: Alexandria
Functional: GGA-PBE
Structure: optimized geometry

Calculated values
E in eV/atom: -9.5874
Mass density in g/cm3: 13.0
ΔE_f in eV/atom: 0.23
Magnetic moment in μB per cell: 0.00

Cell lengths 2.638, 4.116, 5.129 Å; angles 90.00, 100.84, 90.00 degrees
Space group P2/m (No. 10)
One atom of each set of equivalent atoms:
Be: 0.000 0.000 0.000 x1
Cr: 0.500 0.000 0.500 x1
W: 0.250 0.500 0.751 x2



> The lowest mass density belongs to which entry?

BeCr2W



What did the second record say?
Compound: BeCrW2
Source: Alexandria
Functional: GGA-PBE
Structure: optimized geometry

Calculated values
E in eV/atom: -9.6486
Mass density in g/cm3: 13.3
ΔE_f in eV/atom: 0.17
Magnetic moment in μB per cell: 0.00

Cell lengths 3.123, 3.123, 5.483 Å; angles 90.00, 90.00, 90.00 degrees
Space group P4mm (No. 99)
One atom of each set of equivalent atoms:
Be: 0.000 0.000 0.000 x1
Cr: 0.500 0.500 0.209 x1
W: 0.000 0.000 0.478 x1
W: 0.500 0.500 0.769 x1



> Among the records above, which one has the highest ΔE_f?

number 1



What did the fourth record say?
Compound: BeCrW2
Source: Alexandria
Functional: GGA-PBE
Structure: optimized geometry

Calculated values
E in eV/atom: -9.5874
Mass density in g/cm3: 13.0
ΔE_f in eV/atom: 0.23
Magnetic moment in μB per cell: 0.00

Cell lengths 2.638, 4.116, 5.129 Å; angles 90.00, 100.84, 90.00 degrees
Space group P2/m (No. 10)
One atom of each set of equivalent atoms:
Be: 0.000 0.000 0.000 x1
Cr: 0.500 0.000 0.500 x1
W: 0.250 0.500 0.751 x2